No. 1
A relaxed structure of RbAc2Br8. Source: Alexandria, functional GGA-PBE.

Cell and atoms, written as POSCAR:
```
RbAc2Br8
1.0
7.5142 -4.7847 0.0000
7.5142 4.7847 0.0000
-0.0212 0.0000 5.8962
Rb Ac Br
1 2 8
direct
0.0000 0.0000 0.0000
0.3021 0.3021 0.4994
0.6979 0.6979 0.5006
0.0599 0.6767 0.5026
0.2525 0.2525 0.9989
0.3233 0.9401 0.4974
0.4998 0.4998 0.2458
0.5002 0.5002 0.7542
0.6767 0.0599 0.5026
0.7475 0.7475 0.0011
0.9401 0.3233 0.4974
```

***

No. 2
A relaxed structure of RbAcBr4. Source: Alexandria, functional GGA-PBE.

Cell and atoms, written as POSCAR:
```
RbAcBr4
1.0
5.3057 0.0000 0.0000
0.0000 5.3057 0.0000
0.0000 0.0000 8.2304
Rb Ac Br
1 1 4
direct
0.0000 0.0000 0.0000
0.5000 0.5000 0.5000
0.0000 0.5000 0.2812
0.0000 0.5000 0.7188
0.5000 0.0000 0.2812
0.5000 0.0000 0.7188
```

***

No. 3
A relaxed structure of Rb2AcBr. Source: Alexandria, functional GGA-PBE.

Cell and atoms, written as POSCAR:
```
Rb2AcBr
1.0
2.1082 1.2172 12.9661
-2.1082 1.2172 12.9661
0.0000 -2.4343 12.9661
Rb Ac Br
2 1 1
direct
0.1068 0.1068 0.1068
0.8932 0.8932 0.8932
0.0000 0.0000 0.0000
0.5000 0.5000 0.5000
```

***

No. 4
Rb2AcBr5 GGA-PBE optimized geometry; polymorph energy (0 for the lowest one) = 0.1098 eV/atom
1.0
4.6390 -4.3978 0.0000
4.6390 4.3978 0.0000
-4.5943 0.0000 8.6573
Rb Ac Br
2 1 5
direct
0.0000 0.0000 0.0000
0.7026 0.7026 0.3128
0.2081 0.2081 0.6172
0.2037 0.7308 0.6853
0.2192 0.8217 0.3280
0.3570 0.3570 0.9634
0.7308 0.2037 0.6853
0.8217 0.2192 0.3280

***

No. 5
A relaxed structure of Rb3AcBr6. Source: Alexandria, functional GGA-PBE.

Cell and atoms, written as POSCAR:
```
Rb3AcBr6
1.0
8.3736 0.0000 0.0000
0.0000 8.9081 0.0000
-7.9157 0.0000 11.9019
Rb Ac Br
6 2 12
direct
0.0000 0.0000 0.0000
0.0000 0.5000 0.5000
0.2089 0.0751 0.7391
0.2089 0.4249 0.2391
0.7911 0.5751 0.7609
0.7911 0.9249 0.2609
0.5000 0.0000 0.5000
0.5000 0.5000 0.0000
0.1489 0.1828 0.4393
0.1489 0.3172 0.9393
0.2446 0.7207 0.4165
0.2446 0.7793 0.9165
0.4073 0.0662 0.2659
0.4073 0.4338 0.7659
0.5927 0.5662 0.2341
0.5927 0.9338 0.7341
0.7554 0.2207 0.0835
0.7554 0.2793 0.5835
0.8511 0.6828 0.0607
0.8511 0.8172 0.5607
```

***

No. 6
A relaxed structure of RbAcBr. Source: Alexandria, functional GGA-PBE.

Cell and atoms, written as POSCAR:
```
RbAcBr
1.0
4.7546 0.0000 0.0000
0.0000 4.7546 0.0000
0.0000 0.0000 12.1818
Rb Ac Br
2 2 2
direct
0.2500 0.2500 0.1552
0.7500 0.7500 0.8448
0.2500 0.2500 0.5845
0.7500 0.7500 0.4155
0.2500 0.2500 0.8576
0.7500 0.7500 0.1424
```

***

No. 7
A relaxed structure of RbAc2Br7. Source: Alexandria, functional GGA-PBE.

Cell and atoms, written as POSCAR:
```
RbAc2Br7
1.0
4.8175 -7.6782 0.0000
4.8175 7.6782 0.0000
0.0000 0.0000 6.0363
Rb Ac Br
1 2 7
direct
0.0000 0.0000 0.0000
0.3009 0.6991 0.5000
0.6991 0.3009 0.5000
0.0533 0.3240 0.5000
0.2759 0.7241 0.0000
0.3240 0.0533 0.5000
0.5000 0.5000 0.5000
0.6760 0.9467 0.5000
0.7241 0.2759 0.0000
0.9467 0.6760 0.5000
```

***

No. 8
Rb2AcBr5 GGA-PBE optimized geometry; polymorph energy (0 for the lowest one) = 0.0000 eV/atom
1.0
14.2049 0.0000 0.0000
0.0000 9.7187 0.0000
0.0000 0.0000 8.9199
Rb Ac Br
8 4 20
direct
0.1725 0.0035 0.0467
0.1725 0.4965 0.0467
0.3275 0.5035 0.5467
0.3275 0.9965 0.5467
0.6725 0.0035 0.4533
0.6725 0.4965 0.4533
0.8275 0.5035 0.9533
0.8275 0.9965 0.9533
0.0058 0.2500 0.5719
0.4942 0.7500 0.0719
0.5058 0.2500 0.9281
0.9942 0.7500 0.4281
0.0088 0.2500 0.9200
0.0804 0.5423 0.6625
0.0804 0.9577 0.6625
0.1794 0.2500 0.3677
0.2041 0.7500 0.3316
0.2959 0.2500 0.8316
0.3206 0.7500 0.8677
0.4196 0.0423 0.1625
0.4196 0.4577 0.1625
0.4912 0.7500 0.4200
0.5088 0.2500 0.5800
0.5804 0.5423 0.8375
0.5804 0.9577 0.8375
0.6794 0.2500 0.1323
0.7041 0.7500 0.1684
0.7959 0.2500 0.6684
0.8206 0.7500 0.6323
0.9196 0.0423 0.3375
0.9196 0.4577 0.3375
0.9912 0.7500 0.0800

***

No. 9
A relaxed structure of RbAcBr3. Source: Alexandria, functional GGA-PBE.

Cell and atoms, written as POSCAR:
```
RbAcBr3
1.0
6.1268 0.0000 0.0000
0.0000 6.1268 0.0000
0.0000 0.0000 6.1268
Rb Ac Br
1 1 3
direct
0.0000 0.0000 0.0000
0.5000 0.5000 0.5000
0.0000 0.5000 0.5000
0.5000 0.0000 0.5000
0.5000 0.5000 0.0000
```

***

No. 10
A relaxed structure of RbSrAcBr6. Source: Alexandria, functional GGA-PBE.

Cell and atoms, written as POSCAR:
```
RbSrAcBr6
1.0
8.0505 0.0000 0.0000
-4.0253 6.9720 0.0000
0.0000 0.0000 14.5647
Rb Sr Ac Br
2 2 2 12
direct
0.0000 0.0000 0.0000
0.0000 0.0000 0.5000
0.3333 0.6667 0.2500
0.6667 0.3333 0.7500
0.3333 0.6667 0.7500
0.6667 0.3333 0.2500
0.0022 0.3686 0.6339
0.0022 0.6337 0.8661
0.3663 0.3686 0.8661
0.3663 0.9978 0.6339
0.3686 0.0022 0.1339
0.3686 0.3663 0.3661
0.6314 0.6337 0.6339
0.6314 0.9978 0.8661
0.6337 0.0022 0.3661
0.6337 0.6314 0.1339
0.9978 0.3663 0.1339
0.9978 0.6314 0.3661
```

***

no.,mass density (Mg/m³),uncorrected formation energy (meV per atom)
1,4.62,-1802.8
2,4.53,-1951.9
3,3.97,-549.2
4,3.75,-1831.6
5,3.60,-1885.7
6,4.73,-904.6
7,4.09,-1964.1
8,4.30,-1941.4
9,3.99,-1581.9
10,3.57,-2010.2